Ba2CdAu | GGA-PBEsol | optimized geometry

Cell lengths 5.4350, 5.4350, 7.7158 Å; angles 90.00, 90.00, 90.00 degrees
Closest atoms and distances in Å follow each position.
Space group I-4m2 (No. 119)
One atom of each set of equivalent atoms:
Ba1 0.0000 0.0000 0.0000  4 Ba 3.33, 4 Au 3.33
Ba2 0.0000 0.5000 0.2500  4 Cd 3.33, 4 Ba 3.33
Cd1 0.0000 0.0000 0.5000  4 Ba 3.33, 4 Au 3.33
Au1 0.0000 0.5000 0.7500  4 Cd 3.33, 4 Ba 3.33

## Properties
E_form = -1.174 eV per formula unit
Theoretical density = 8.51 g/cm3

CaTmRh2 | GGA-PBEsol | optimized geometry

Cell lengths 6.6494, 6.6494, 6.6494 Å; angles 90.00, 90.00, 90.00 degrees
Closest atoms and distances in Å follow each position.
Space group Fm-3m (No. 225)
One atom of each set of equivalent atoms:
Ca1 0.0000 0.0000 0.0000  8 Rh 2.88
Tm1 0.0000 0.0000 0.5000  8 Rh 2.88
Rh1 0.2500 0.2500 0.2500  4 Ca 2.88, 4 Tm 2.88

## Properties
E_form = -2.359 eV per formula unit
Theoretical density = 9.37 g/cm3

Cd2InTc | GGA-PBEsol | optimized geometry

Cell lengths 2.9224, 2.9224, 9.1187 Å; angles 90.00, 90.00, 90.00 degrees
Closest atoms and distances in Å follow each position.
Space group P4/mmm (No. 123)
One atom of each set of equivalent atoms:
Cd1 0.0000 0.0000 0.2177  4 Tc 2.87, 4 Cd 2.92
In1 0.5000 0.5000 0.5000  4 In 2.92
Tc1 0.5000 0.5000 0.0000  8 Cd 2.87, 4 Tc 2.92

## Properties
E_form = 1.546 eV per formula unit
Theoretical density = 9.33 g/cm3

MnAgRh | GGA-PBEsol | optimized geometry

Cell lengths 4.2732, 4.2732, 2.7595 Å; angles 90.00, 90.00, 120.00 degrees
Closest atoms and distances in Å follow each position.
Space group P-6m2 (No. 187)
One atom of each set of equivalent atoms:
Mn1 0.0000 0.0000 0.0000  3 Rh 2.47, 2 Mn 2.76
Ag1 0.6667 0.3333 0.5000  2 Ag 2.76, 6 Mn 2.83, 6 Rh 2.83
Rh1 0.3333 0.6667 0.0000  3 Mn 2.47, 2 Rh 2.76

## Properties
E_form = 0.916 eV per formula unit
Theoretical density = 10.11 g/cm3

NbH2S | GGA-PBEsol | optimized geometry

Cell lengths 5.2817, 5.2817, 5.2817 Å; angles 90.00, 90.00, 90.00 degrees
Closest atoms and distances in Å follow each position.
Space group Fm-3m (No. 225)
One atom of each set of equivalent atoms:
Nb1 0.0000 0.0000 0.0000  8 H 2.29
H1 0.2500 0.2500 0.2500  4 S 2.29, 4 Nb 2.29
S1 0.0000 0.0000 0.5000  8 H 2.29

## Properties
Theoretical density = 5.72 g/cm3
DFT total energy = -0.372 Ry per atom

Ni3Bi2S2 | GGA-PBEsol | optimized geometry

Cell lengths 10.8740, 7.9904, 7.7955 Å; angles 90.00, 133.58, 90.00 degrees
Closest atoms and distances in Å follow each position.
Space group C2/m (No. 12)
One atom of each set of equivalent atoms:
Ni1 0.0000 0.2439 0.0000  2 S 2.16
Ni2 0.2416 0.0000 0.7273  2 S 2.16
Ni3 0.2500 0.2500 0.0000  2 S 2.15
Bi1 0.9998 0.0000 0.2479  6 Ni 2.71-2.80
Bi2 0.0080 0.5000 0.7598  6 Ni 2.73-2.90
S1 0.2286 0.2696 0.7048  3 Ni 2.15-2.16

## Properties
Uncorrected formation energy = -0.35 eV per atom
Theoretical density = 8.91 g/cm3